Below is an optimized crystal structure of FeGe2As6Pt, with properties calculated at the GGA-PBE level.

```
FeGe2As6Pt
1.0
6.146 0.019 -0.015
-3.060 5.622 -0.578
-3.084 -2.468 5.933
Fe Ge As Pt
1 2 6 1
direct
0.000 0.004 0.980 Fe
0.576 0.793 0.284 Ge
0.512 0.289 0.783 Ge
0.525 0.922 0.821 As
0.470 0.077 0.137 As
0.866 0.709 0.170 As
0.234 0.402 0.301 As
0.762 0.598 0.656 As
0.022 0.181 0.693 As
0.999 0.503 0.479 Pt
```

Summary:
**Theoretical density**: 7.157 g cm⁻³
**ΔE_f**: -112 meV/atom
**DOS at the Fermi energy**: 3.61 states/eV/f.u.
**Total moment**: 0.0 μB per formula unit
**Crystal system**: triclinic
**Electronic total energy**: -5.28 eV per atom